Record 1
Crystalline Ce3Hg5Pb at its relaxed geometry. Source: the Alexandria database, functional PBE.

Cell and atoms, written as POSCAR:
```
Ce3Hg5Pb
1.0
9.209 0.000 0.000
-4.605 7.976 0.000
0.000 0.000 6.625
Ce Hg Pb
6 10 2
direct
0.000 0.327 0.250
0.000 0.673 0.750
0.327 0.000 0.250
0.327 0.327 0.750
0.673 0.000 0.750
0.673 0.673 0.250
0.000 0.344 0.750
0.000 0.656 0.250
0.333 0.667 0.000
0.333 0.667 0.500
0.344 0.000 0.750
0.344 0.344 0.250
0.656 0.000 0.250
0.656 0.656 0.750
0.667 0.333 0.000
0.667 0.333 0.500
0.000 0.000 0.000
0.000 0.000 0.500
```

Calculated values
Its total energy is -2.90 eV per atom. The value obtained for the theoretical density is 11.1 g cm⁻³. The value obtained for the formation enthalpy at 0 K is -3.056 eV per formula unit.

***

Record 2
Crystalline Ac2Tb7Pm3 at its relaxed geometry. Source: the Alexandria database, functional PBE.

Cell and atoms, written as POSCAR:
```
Ac2Tb7Pm3
1.0
6.462 0.000 0.000
0.000 3.622 0.000
-2.046 0.000 17.849
Ac Tb Pm
2 7 3
direct
0.055 0.000 0.175
0.945 0.000 0.825
0.000 0.500 0.500
0.229 0.000 0.662
0.259 0.000 0.000
0.277 0.500 0.341
0.723 0.500 0.659
0.741 0.000 0.000
0.771 0.000 0.338
0.455 0.500 0.840
0.500 0.000 0.500
0.545 0.500 0.160
```

Calculated values
Its total energy is -4.47 eV per atom. The value obtained for the theoretical density is 8.0 g cm⁻³. The value obtained for the formation enthalpy at 0 K is 1.276 eV per formula unit.

***

Record 3
Crystalline BaMgCd4Hg2 at its relaxed geometry. Source: the Alexandria database, functional PBE.

Cell and atoms, written as POSCAR:
```
BaMgCd4Hg2
1.0
2.509 1.448 10.024
-2.509 1.448 10.024
0.000 -2.897 10.024
Ba Mg Cd Hg
1 1 4 2
direct
0.000 0.000 0.000
0.500 0.500 0.500
0.136 0.136 0.136
0.404 0.404 0.404
0.596 0.596 0.596
0.864 0.864 0.864
0.255 0.255 0.255
0.745 0.745 0.745
```

Calculated values
Its total energy is -1.14 eV per atom. The value obtained for the theoretical density is 7.7 g cm⁻³. The value obtained for the formation enthalpy at 0 K is -1.355 eV per formula unit.

***

- Look up the theoretical density of the third one.
  7.7 g cm⁻³